# Sn2WNF PBE with a Hubbard U relaxed
data_Sn2WNF
_cell_length_a 4.801
_cell_length_b 4.801
_cell_length_c 4.043
_cell_angle_alpha 90.00
_cell_angle_beta 90.00
_cell_angle_gamma 90.00
_space_group_name_H-M_alt 'P 4/m m m'
_space_group_IT_number 123
_space_group_name_Hall '-P 4 2'
loop_
_atom_site_label
_atom_site_fract_x
_atom_site_fract_y
_atom_site_fract_z
_atom_site_occupancy
Sn1 0.000 0.500 0.000 1
W1 0.000 0.000 0.500 1
N1 0.500 0.500 0.500 1
F1 0.500 0.500 0.000 1
# * VASP energy: -4.05 eV per atom